Below is Sb3Cl at its PBEsol-relaxed geometry, with properties calculated at the SCAN level.

```
data_Sb3Cl
_symmetry_space_group_name_H-M 'P m m 2'
_symmetry_Int_Tables_number 25
_cell_length_a 4.165
_cell_length_b 4.311
_cell_length_c 6.468
_cell_angle_alpha 90.00
_cell_angle_beta 90.00
_cell_angle_gamma 90.00
loop_
_symmetry_equiv_pos_as_xyz
'x,y,z'
'-x,-y,z'
'-x,y,z'
'x,-y,z'
loop_
_atom_site_label
_atom_site_fract_x
_atom_site_fract_y
_atom_site_fract_z
Sb1 0.000 0.000 0.000
Sb2 0.000 0.500 0.338
Sb3 0.500 0.500 0.991
Cl1 0.500 0.000 0.515
```

Properties
Formation energy (no corrections)   -0.061 eV/atom